(1)
# BaIr2Cl, PBEsol geometry, DFT meta-GGA SCAN
data_BaIr2Cl
_chemical_formula_sum 'Ba1 Ir2 Cl1'
_cell_length_a 3.4719
_cell_length_b 3.4818
_cell_length_c 7.8508
_cell_angle_alpha 90.00
_cell_angle_beta 93.97
_cell_angle_gamma 90.00
_space_group_name_H-M_alt 'P 1'
_space_group_IT_number 1
_space_group_name_Hall 'P 1'
loop_
_atom_site_label
_atom_site_type_symbol
_atom_site_fract_x
_atom_site_fract_y
_atom_site_fract_z
Ir1 Ir 0.9570 0.0000 0.1010
Ir2 Ir 0.4686 0.5000 0.1823
Ba1 Ba 0.0200 0.0000 0.4968
Cl1 Cl 0.5544 0.5000 0.7200
# Uncorrected formation energy: -0.326 eV/atom
# DOS at the Fermi energy: 1.88 states/eV/f.u.

(2)
# LiIr2Ru, PBEsol geometry, DFT meta-GGA SCAN
data_LiIr2Ru
_chemical_formula_sum 'Li1 Ir2 Ru1'
_cell_length_a 2.6363
_cell_length_b 4.6316
_cell_length_c 4.6316
_cell_angle_alpha 109.69
_cell_angle_beta 90.00
_cell_angle_gamma 90.00
_space_group_name_H-M_alt 'P 1'
_space_group_IT_number 1
_space_group_name_Hall 'P 1'
loop_
_atom_site_label
_atom_site_type_symbol
_atom_site_fract_x
_atom_site_fract_y
_atom_site_fract_z
Ir1 Ir 0.0000 0.5000 0.0000
Ir2 Ir 0.0000 0.0000 0.5000
Li1 Li 0.5000 0.0000 0.0000
Ru1 Ru 0.5000 0.5000 0.5000
# Calculated formation energy: -0.0248 eV per atom
# DOS at the Fermi energy: 4.18 states/eV/f.u.

(3)
# ZrIn2NiPd, PBEsol geometry, DFT meta-GGA SCAN
data_ZrIn2NiPd
_chemical_formula_sum 'Zr1 In2 Ni1 Pd1'
_cell_length_a 4.6931
_cell_length_b 4.6931
_cell_length_c 4.6862
_cell_angle_alpha 90.00
_cell_angle_beta 90.00
_cell_angle_gamma 90.00
_space_group_name_H-M_alt 'P 1'
_space_group_IT_number 1
_space_group_name_Hall 'P 1'
loop_
_atom_site_label
_atom_site_type_symbol
_atom_site_fract_x
_atom_site_fract_y
_atom_site_fract_z
Ni1 Ni 0.0000 0.0000 0.0000
Zr1 Zr 0.0000 0.0000 0.5000
Pd1 Pd 0.5000 0.5000 0.5000
In1 In 0.0000 0.5000 0.0000
In2 In 0.5000 0.0000 0.0000
# Calculated formation energy: 0.0383 eV per atom
# DOS at the Fermi energy: 3.25 states/eV/f.u.

Number 1: total energy -1.7550 hartree per atom. Number 2: total energy -1.6492 hartree per atom. Number 3: total energy -1.0748 hartree per atom.